Crystalline RbLi3Ag at its relaxed geometry. Source: the Alexandria database, functional GGA-PBEsol.

The magnetic moment comes out at 0.001 μB per formula unit. The density of states at the Fermi level is 0.57 states/eV/atom. The calculation puts the energy of formation from the pure elements at 46 kJ/mol of formula units.

The space group is Pm-3m (No. 221) and the conventional cell measures 5.280, 5.280 and 5.280 Å, with angles of 90.00, 90.00 and 90.00 degrees. The asymmetric unit holds Rb at (0.000, 0.000, 0.000), Li at (0.000, 0.500, 0.500) and Ag at (0.500, 0.500, 0.500).